1.
A plane-wave DFT calculation with PBE was carried out for an optimized crystal structure of PuMgNiRu.

```
data_PuMgNiRu
_chemical_formula_sum 'Pu4 Mg4 Ni4 Ru4'
_symmetry_space_group_name_H-M 'F -4 3 m'
_symmetry_Int_Tables_number 216
_symmetry_space_group_name_Hall 'F -4 2 3'
_cell_length_a 6.4749
_cell_length_b 6.4749
_cell_length_c 6.4749
_cell_angle_alpha 90.00
_cell_angle_beta 90.00
_cell_angle_gamma 90.00
loop_
_atom_site_label
_atom_site_type_symbol
_atom_site_fract_x
_atom_site_fract_y
_atom_site_fract_z
Pu1 Pu 0.0000 0.0000 0.0000
Mg1 Mg 0.0000 0.0000 0.5000
Ni1 Ni 0.2500 0.2500 0.7500
Ru1 Ru 0.2500 0.2500 0.2500
```

Values from the calculation:
**DFT formation energy**: -0.0899 eV/atom

2.
A plane-wave DFT calculation with PBE was carried out for an optimized crystal structure of InOsSe4.

```
data_InOsSe4
_chemical_formula_sum 'In4 Os4 Se16'
_symmetry_space_group_name_H-M 'F -4 3 m'
_symmetry_Int_Tables_number 216
_symmetry_space_group_name_Hall 'F -4 2 3'
_cell_length_a 8.0858
_cell_length_b 8.0858
_cell_length_c 8.0858
_cell_angle_alpha 90.00
_cell_angle_beta 90.00
_cell_angle_gamma 90.00
loop_
_atom_site_label
_atom_site_type_symbol
_atom_site_fract_x
_atom_site_fract_y
_atom_site_fract_z
In1 In 0.0000 0.0000 0.0000
Os1 Os 0.2500 0.2500 0.7500
Se1 Se 0.1229 0.1229 0.3771
```

Values from the calculation:
**Energy relative to the elements, uncorrected**: 1.19 eV/atom

3.
A plane-wave DFT calculation with PBE was carried out for an optimized crystal structure of Pm4CuS5.

```
data_Pm4CuS5
_chemical_formula_sum 'Pm12 Cu3 S15'
_symmetry_space_group_name_H-M 'R -3 m'
_symmetry_Int_Tables_number 166
_symmetry_space_group_name_Hall '-R 3 2"'
_cell_length_a 4.0148
_cell_length_b 4.0148
_cell_length_c 47.2768
_cell_angle_alpha 90.00
_cell_angle_beta 90.00
_cell_angle_gamma 120.00
loop_
_atom_site_label
_atom_site_type_symbol
_atom_site_fract_x
_atom_site_fract_y
_atom_site_fract_z
Pm1 Pm 0.0000 0.0000 0.1057
Pm2 Pm 0.0000 0.0000 0.2982
Cu1 Cu 0.0000 0.0000 0.5000
S1 S 0.0000 0.0000 0.0000
S2 S 0.0000 0.0000 0.1942
S3 S 0.0000 0.0000 0.4038
```

Values from the calculation:
**Energy relative to the elements, uncorrected**: -1.68 eV/atom

4.
A plane-wave DFT calculation with PBE was carried out for an optimized crystal structure of GdZnCuRu.

```
data_GdZnCuRu
_chemical_formula_sum 'Gd4 Zn4 Cu4 Ru4'
_symmetry_space_group_name_H-M 'F -4 3 m'
_symmetry_Int_Tables_number 216
_symmetry_space_group_name_Hall 'F -4 2 3'
_cell_length_a 6.5038
_cell_length_b 6.5038
_cell_length_c 6.5038
_cell_angle_alpha 90.00
_cell_angle_beta 90.00
_cell_angle_gamma 90.00
loop_
_atom_site_label
_atom_site_type_symbol
_atom_site_fract_x
_atom_site_fract_y
_atom_site_fract_z
Gd1 Gd 0.0000 0.0000 0.0000
Zn1 Zn 0.0000 0.0000 0.5000
Cu1 Cu 0.2500 0.2500 0.2500
Ru1 Ru 0.2500 0.2500 0.7500
```

Values from the calculation:
**DFT formation energy**: -0.0600 eV/atom

| no. | total DFT energy (no corrections) (eV/cell) | size of the total moment (μB per formula unit) |
| --- | --- | --- |
| 1 | -125.4 | 4.4 |
| 2 | -83.1 | 3.4 |
| 3 | -181.6 | 0.0 |
| 4 | -115.9 | 7.0 |